1.
DFT (PBE) results for a relaxed structure of BeFe2HOs.

Structure (POSCAR):
```
BeFe2HOs
1.0
-0.2395 2.7446 -2.1455
-3.4832 -0.2272 0.0981
-0.0702 2.4108 3.0917
Fe Be Os H
2 1 1 1
Direct
0.5000 0.0000 0.0000
0.0000 0.5000 0.0000
0.0000 0.0000 0.5000
0.5000 0.5000 0.5000
0.0000 0.0000 0.0000
```

---

2.
DFT (PBE) results for a relaxed structure of BeFeH2Os.

Structure (POSCAR):
```
BeFeH2Os
1.0
3.1923 0.0000 0.0000
0.0000 4.6938 0.0000
0.0000 0.0000 3.1923
Be Fe Os H
1 1 1 2
Direct
0.5000 0.5000 0.5000
0.0000 0.0000 0.0000
0.0000 0.5000 0.0000
0.5000 0.0000 0.0000
0.0000 0.0000 0.5000
```

---

Number 1: energy -6.92 eV per atom. Number 2: energy -5.31 eV per atom.